No. 1
## Pr4Sm7Cd (PBE)

Data for a relaxed structure of Pr4Sm7Cd.

Calculated values
- Space-group type: P-3m1 (164)
- N(E_F): 15.1 states/eV per cell
- Formation enthalpy at 0 K: -0.0170 eV/atom

extended XYZ file:
```
12
Lattice="3.664 0.000 0.000 -1.832 3.173 0.000 0.000 0.000 35.016" Properties=species:S:1:pos:R:3 pbc="T T T"
Pr 0.000 2.115 5.527
Pr 0.000 2.115 14.505
Pr 1.832 1.058 20.511
Pr 1.832 1.058 29.488
Sm 0.000 0.000 8.549
Sm 0.000 0.000 17.508
Sm 0.000 0.000 26.466
Sm 0.000 2.115 23.526
Sm 0.000 2.115 32.468
Sm 1.832 1.058 2.548
Sm 1.832 1.058 11.490
Cd 0.000 0.000 0.000
```

No. 2
## Pr12Sm7Cd (PBE)

Data for a relaxed structure of Pr12Sm7Cd.

Calculated values
- Space-group type: R-3 (148)
- N(E_F): 35.9 states/eV per cell
- Formation enthalpy at 0 K: 0.1592 eV/atom

extended XYZ file:
```
20
Lattice="6.300 3.637 5.220 -6.300 3.637 5.220 0.000 -7.275 5.220" Properties=species:S:1:pos:R:3 pbc="T T T"
Pr -2.150 -0.323 4.830
Pr -3.490 -0.934 8.303
Pr -0.936 -3.489 7.356
Pr 1.354 -1.700 4.830
Pr -2.553 2.555 7.356
Pr 0.795 2.023 4.830
Pr -0.795 -2.023 10.830
Pr 2.553 -2.555 8.303
Pr -1.354 1.700 10.830
Pr 0.936 3.489 8.303
Pr 3.490 0.934 7.356
Pr 2.150 0.323 10.830
Sm -5.594 0.881 6.402
Sm -3.560 -4.404 9.258
Sm 2.034 -5.285 6.402
Sm 0.000 0.000 7.830
Sm -2.034 5.285 9.258
Sm 3.560 4.404 6.402
Sm 5.594 -0.881 9.258
Cd 0.000 0.000 0.000
```

No. 3
## PrSm3Cd2 (PBE)

Data for a relaxed structure of PrSm3Cd2.

Calculated values
- Space-group type: P4/mmm (123)
- N(E_F): 6.7 states/eV per cell
- Formation enthalpy at 0 K: -0.2065 eV/atom

extended XYZ file:
```
6
Lattice="3.745 0.000 0.000 0.000 3.745 0.000 0.000 0.000 12.920" Properties=species:S:1:pos:R:3 pbc="T T T"
Pr 0.000 0.000 0.000
Sm 1.873 1.873 2.549
Sm 1.873 1.873 6.460
Sm 1.873 1.873 10.371
Cd 0.000 0.000 4.498
Cd 0.000 0.000 8.422
```

> Among the records above, which one has the lowest N(E_F)?

PrSm3Cd2

> Which formula does entry 2 have?

Pr12Sm7Cd

> What is the formula in the third record?

PrSm3Cd2